[1]
Below is an optimized crystal structure of Ca3AlAu2, with properties calculated at the PBE level.

Results
space-group type: Ibam (72)
raw total energy: -39.6 eV for the cell shown
density: 5.572 g cm⁻³
E_form: -583 meV per atom

The structure in POSCAR format:
```
Ca3AlAu2
1.0
7.0103 0.0000 0.0000
0.0000 6.5026 0.0000
-3.5052 -3.2513 7.0755
Ca Au Al
6 4 2
Direct
0.5000 0.2500 0.0000
0.9955 0.1857 0.3713
0.6242 0.3143 0.6287
0.3758 0.6857 0.3713
0.5000 0.7500 0.0000
0.0045 0.8143 0.6287
0.6859 0.8944 0.7889
0.8970 0.6056 0.2111
0.3141 0.1056 0.2111
0.1030 0.3944 0.7889
0.0000 0.2500 0.0000
0.0000 0.7500 0.0000
```

=====

[2]
Below is an optimized crystal structure of Mn2NiHg, with properties calculated at the PBE level.

Results
space-group type: I-42d (122)
raw total energy: -42.7 eV for the cell shown
density: 10.201 g cm⁻³
E_form: 770 meV per atom

The structure in POSCAR format:
```
Mn2NiHg
1.0
3.6593 0.0000 0.0000
0.0000 3.6593 0.0000
1.8296 1.8296 8.9760
Ni Mn Hg
2 4 2
Direct
0.2500 0.7500 0.5000
0.5000 0.5000 0.0000
0.8750 0.7978 0.7500
0.2022 0.6250 0.2500
0.3750 0.4522 0.7500
0.5478 0.1250 0.2500
0.0000 0.0000 0.0000
0.7500 0.2500 0.5000
```

=====

[3]
Below is an optimized crystal structure of La3Pm2Tl4, with properties calculated at the PBE level.

Results
space-group type: C2/m (12)
raw total energy: -36.8 eV for the cell shown
excess energy over the best structure of this formula in the dataset: 0.00 kJ per mole of atoms
density: 9.011 g cm⁻³
E_form: -336 meV per atom

The structure in POSCAR format:
```
La3Pm2Tl4
1.0
5.5002 0.0001 0.0005
2.7497 4.7304 0.6077
-0.0002 -1.3443 10.6237
Tl La Pm
4 3 2
Direct
0.9992 0.0016 0.3439
0.6670 0.6661 0.8967
0.0008 0.9984 0.6561
0.3330 0.3339 0.1033
0.6674 0.6652 0.5753
0.3326 0.3348 0.4247
0.0000 0.0000 0.0000
0.3338 0.3323 0.7831
0.6662 0.6677 0.2169
```

=====

[4]
Below is an optimized crystal structure of Pm7Pd2Rh2, with properties calculated at the PBE level.

Results
space-group type: Imm2 (44)
raw total energy: -64.6 eV for the cell shown
excess energy over the best structure of this formula in the dataset: 0.00 kJ per mole of atoms
density: 8.020 g cm⁻³
E_form: -568 meV per atom

The structure in POSCAR format:
```
Pm7Pd2Rh2
1.0
3.8782 0.0000 0.8317
1.0539 8.1182 4.5433
0.0206 -0.1326 9.3616
Pm Rh Pd
7 2 2
Direct
0.1204 0.1476 0.6117
0.8796 0.3883 0.8524
0.6090 0.4995 0.2824
0.1905 0.7007 0.9182
0.5000 0.9879 0.0121
0.8095 0.0818 0.2993
0.3910 0.7176 0.5005
0.5000 0.3591 0.6409
0.0000 0.7784 0.2216
0.7387 0.8577 0.6648
0.2613 0.3352 0.1423
```

=====

[5]
Below is an optimized crystal structure of Pm2DyY4Tm2, with properties calculated at the PBE level.

Results
space-group type: C2/m (12)
raw total energy: -48.8 eV for the cell shown
density: 6.562 g cm⁻³
E_form: 11 meV per atom

The structure in POSCAR format:
```
Pm2DyY4Tm2
1.0
3.6023 0.0000 0.0000
-1.8012 9.3310 -0.4723
0.0000 -3.7187 8.8156
Tm Y Dy Pm
2 4 1 2
Direct
0.3332 0.6664 0.9993
0.6668 0.3336 0.0007
0.1848 0.3696 0.3315
0.4814 0.9629 0.6688
0.5186 0.0371 0.3312
0.8152 0.6304 0.6685
0.0000 0.0000 0.0000
0.1486 0.2972 0.6678
0.8514 0.7028 0.3322
```

=====

[6]
Below is an optimized crystal structure of Dy2FeNi3P4, with properties calculated at the PBE level.

Results
space-group type: P-4m2 (115)
raw total energy: -66.2 eV for the cell shown
density: 7.893 g cm⁻³
E_form: -957 meV per atom

The structure in POSCAR format:
```
Dy2FeNi3P4
1.0
-1.8398 -1.8076 3.0140
-0.2202 -3.3361 -2.1352
8.0480 -2.6559 3.3198
Ni P Dy Fe
3 4 2 1
Direct
0.0000 0.0000 0.5000
0.5000 0.0000 0.8813
0.0000 0.5000 0.1187
0.5000 0.5000 0.0000
0.0000 0.0000 0.0000
0.0000 0.5000 0.3694
0.5000 0.0000 0.6306
0.5000 0.0000 0.2447
0.0000 0.5000 0.7553
0.5000 0.5000 0.5000
```

=====

[7]
Below is an optimized crystal structure of Nd3Sm8, with properties calculated at the PBE level.

Results
space-group type: R-3 (148)
raw total energy: -46.8 eV for the cell shown
excess energy over the best structure of this formula in the dataset: 44.85 kJ per mole of atoms
density: 7.169 g cm⁻³
E_form: 476 meV per atom

The structure in POSCAR format:
```
Nd3Sm8
1.0
7.2498 0.1634 0.1594
0.3474 7.2434 0.1594
0.3474 0.3387 7.2372
Sm Nd
8 3
Direct
0.6948 0.8551 0.1109
0.1109 0.6948 0.8551
0.3774 0.3774 0.3774
0.1449 0.8891 0.3052
0.6226 0.6226 0.6226
0.3052 0.1449 0.8891
0.8891 0.3052 0.1449
0.8551 0.1109 0.6948
0.0000 0.5000 0.5000
0.5000 0.5000 0.0000
0.5000 0.0000 0.5000
```

=====

[8]
Below is an optimized crystal structure of K3CaTl2O6, with properties calculated at the PBE level.

Results
ΔE_f (raw): -1305 meV per atom
space-group type: C2/m (12)
raw total energy: -55.4 eV for the cell shown
density: 5.561 g cm⁻³

The structure in POSCAR format:
```
K3CaTl2O6
1.0
-3.5205 4.8744 0.6585
0.9911 -3.6589 4.7136
5.8324 2.9801 -0.2179
O K Tl Ca
6 3 2 1
Direct
0.7220 0.7220 0.1964
0.5914 0.9351 0.8026
0.2780 0.2780 0.8036
0.0649 0.4086 0.1974
0.9351 0.5914 0.8026
0.4086 0.0649 0.1974
0.1659 0.8341 0.5000
0.5000 0.5000 0.5000
0.8341 0.1659 0.5000
0.3332 0.6668 0.0000
0.6668 0.3332 0.0000
0.0000 0.0000 0.0000
```

=====

[9]
Below is an optimized crystal structure of Ac4Pt2Br, with properties calculated at the PBE level.

Results
ΔE_f (raw): -1101 meV per atom
space-group type: R-3m (166)
raw total energy: -37.9 eV for the cell shown
density: 8.662 g cm⁻³

The structure in POSCAR format:
```
Ac4Pt2Br
1.0
-4.2042 0.1048 -1.4337
-3.0888 -2.4979 1.9904
-5.4790 10.7669 9.9689
Pt Br Ac
2 1 4
Direct
0.4227 0.4227 0.7318
0.5773 0.5773 0.2682
0.0000 0.0000 0.0000
0.8757 0.8757 0.3730
0.1243 0.1243 0.6270
0.2788 0.2788 0.1636
0.7212 0.7212 0.8364
```

=====

[10]
Below is an optimized crystal structure of RbZn3C4O12, with properties calculated at the PBE level.

Results
ΔE_f (raw): -1353 meV per atom
space-group type: R32 (155)
raw total energy: -128.2 eV for the cell shown
density: 3.746 g cm⁻³

The structure in POSCAR format:
```
RbZn3C4O12
1.0
-5.9697 0.3658 1.9013
-0.7448 -1.7880 -5.9695
1.7827 -5.3973 2.6604
C O Zn Rb
4 12 3 1
Direct
0.5000 0.5000 0.5000
0.0416 0.5000 0.9584
0.5000 0.9584 0.0416
0.9584 0.0416 0.5000
0.9049 0.5000 0.0951
0.4215 0.0075 0.2134
0.9925 0.5785 0.7866
0.5000 0.0951 0.9049
0.5785 0.7866 0.9925
0.6338 0.5000 0.3662
0.3662 0.6338 0.5000
0.2134 0.4215 0.0075
0.0075 0.2134 0.4215
0.7866 0.9925 0.5785
0.0951 0.9049 0.5000
0.5000 0.3662 0.6338
0.5430 0.4570 0.0000
0.0000 0.5430 0.4570
0.4570 0.0000 0.5430
0.0000 0.0000 0.0000
```

=====

[11]
Below is an optimized crystal structure of Pm6Mg2Cd, with properties calculated at the PBE level.

Results
space-group type: C2/m (12)
raw total energy: -32.1 eV for the cell shown
excess energy over the best structure of this formula in the dataset: 8.52 kJ per mole of atoms
density: 6.137 g cm⁻³
E_form: 52 meV per atom

The structure in POSCAR format:
```
Pm6Mg2Cd
1.0
3.5228 0.0000 -0.1120
0.0000 10.2169 0.0000
-1.5174 -5.1084 7.7988
Mg Cd Pm
2 1 6
Direct
0.1512 0.6533 0.3065
0.8488 0.3467 0.6935
0.0000 0.0000 0.0000
0.5000 0.3045 0.0000
0.8220 0.6586 0.6430
0.8220 0.9844 0.6430
0.1781 0.3414 0.3570
0.5000 0.6955 0.0000
0.1781 0.0156 0.3570
```

=====

[12]
Below is an optimized crystal structure of Nd5TmCu6, with properties calculated at the PBE level.

Results
space-group type: C2/m (12)
raw total energy: -54.8 eV for the cell shown
density: 7.772 g cm⁻³
E_form: -162 meV per atom

The structure in POSCAR format:
```
Nd5TmCu6
1.0
4.9727 -0.3207 0.8175
-0.0199 6.5592 2.6901
1.1711 0.2802 8.6689
Cu Nd Tm
6 5 1
Direct
0.1624 0.9217 0.6793
0.1625 0.3994 0.6794
0.8375 0.6006 0.3206
0.4999 0.7702 0.0004
0.5001 0.2298 0.9996
0.8376 0.0783 0.3207
0.6686 0.1675 0.6650
0.6663 0.6661 0.6680
0.3337 0.3339 0.3320
0.3314 0.8325 0.3350
0.0000 0.5000 0.0000
0.0000 0.0000 0.0000
```

=====

- Look up the density of the first one.
  5.572 g cm⁻³